(1)
Crystalline FeRuPtS2 at its relaxed geometry, computed with GGA-PBE.

extended XYZ file:
```
5
Lattice="-2.3562 2.2549 3.2943 1.5101 -3.2071 3.2752 3.7193 2.6297 0.8602" Properties=species:S:1:pos:R:3 pbc="T T T"
S 1.8596 1.3148 0.4301
S -1.1781 1.1274 1.6471
Ru 0.7550 -1.6036 1.6376
Pt 0.0000 0.0000 0.0000
Fe 1.4366 0.8387 3.7149
```

Size of the total moment in μB/cell: 3.376
Total energy in eV per atom: -5.06
Space group: P4/mmm (123)
Excess energy over the best structure of this formula in the dataset in meV/atom: 425
Raw formation energy in meV per atom: 1343

***

(2)
Crystalline FeRuPt2S at its relaxed geometry, computed with GGA-PBE.

extended XYZ file:
```
5
Lattice="-3.9657 0.5890 2.4743 -0.4814 -4.0129 0.1837 2.4809 -0.1143 4.0034" Properties=species:S:1:pos:R:3 pbc="T T T"
Pt -1.9828 0.2945 1.2371
Pt 1.2404 -0.0572 2.0017
Fe 0.0000 0.0000 0.0000
Ru -0.9831 -1.7691 3.3307
S -0.2407 -2.0064 0.0919
```

Size of the total moment in μB/cell: 5.423
Total energy in eV per atom: -5.76
Space group: P4/mmm (123)
Raw formation energy in meV per atom: 1030